Record 1
Below is an optimized crystal structure of GdTiGe, with properties calculated at the GGA-PBE level.

abc: 4.068 4.068 7.804
angles: 90.00 90.00 90.00
Element x y z (fractional)
1 Gd 0.000 0.500 0.347
2 Gd 0.500 0.000 0.653
3 Ti 0.500 0.500 0.000
4 Ti 0.000 0.000 0.000
5 Ge 0.500 0.000 0.236
6 Ge 0.000 0.500 0.764

The energy relative to the elements comes out at -0.69 eV per atom. The value obtained for the magnetization is 13.63 μB/cell. The theoretical density is 7.14 Mg/m³.



Record 2
Below is an optimized crystal structure of LiTa2Ag, with properties calculated at the GGA-PBE level.

abc: 7.415 7.415 5.841
angles: 50.60 50.60 90.00
Element x y z (fractional)
1 Li 0.500 0.500 0.000
2 Li 0.250 0.750 0.500
3 Ag 0.000 0.000 0.000
4 Ag 0.750 0.250 0.500
5 Ta 0.614 0.125 0.250
6 Ta 0.136 0.625 0.250
7 Ta 0.375 0.386 0.750
8 Ta 0.875 0.864 0.750

The energy relative to the elements comes out at 0.86 eV per atom. The value obtained for the magnetization is 0.00 μB/cell. The theoretical density is 11.19 Mg/m³.



Record 3
Below is an optimized crystal structure of Ho4Er4Tm, with properties calculated at the GGA-PBE level.

abc: 4.949 7.837 7.837
angles: 84.28 71.59 71.59
Element x y z (fractional)
1 Ho 0.000 0.667 0.333
2 Ho 0.000 0.333 0.667
3 Ho 0.667 0.333 0.333
4 Ho 0.333 0.667 0.667
5 Er 0.334 0.333 0.000
6 Er 0.666 0.667 0.000
7 Er 0.666 0.000 0.667
8 Er 0.334 0.000 0.333
9 Tm 0.000 0.000 0.000

The energy relative to the elements comes out at 0.02 eV per atom. The value obtained for the magnetization is 0.00 μB/cell. The theoretical density is 9.09 Mg/m³.



Record 4
Below is an optimized crystal structure of FeTcSeN2, with properties calculated at the GGA-PBE level.

abc: 3.792 3.792 5.438
angles: 90.00 90.00 90.00
Element x y z (fractional)
1 N 0.000 0.500 0.000
2 N 0.500 0.000 0.000
3 Tc 0.000 0.000 0.000
4 Se 0.000 0.000 0.500
5 Fe 0.500 0.500 0.500

The value obtained for the magnetization is 3.57 μB/cell. The theoretical density is 5.54 Mg/m³.



Record 5
Below is an optimized crystal structure of TlAgPb2Cl6, with properties calculated at the GGA-PBE level.

abc: 7.468 7.467 7.903
angles: 61.67 61.63 59.84
Element x y z (fractional)
1 Tl 0.803 0.805 0.588
2 Ag 0.314 0.313 0.061
3 Pb 0.518 0.518 0.447
4 Pb 0.010 0.010 0.970
5 Cl 0.599 0.238 0.234
6 Cl 0.237 0.929 0.234
7 Cl 0.932 0.599 0.234
8 Cl 0.374 0.720 0.748
9 Cl 0.718 0.156 0.752
10 Cl 0.157 0.374 0.749

The value obtained for the magnetization is 0.00 μB/cell. The theoretical density is 4.89 Mg/m³.



Record 6
Below is an optimized crystal structure of Y2GeSe2, with properties calculated at the GGA-PBE level.

abc: 7.942 7.942 3.795
angles: 90.00 90.00 90.00
Element x y z (fractional)
1 Y 0.336 0.836 0.000
2 Y 0.836 0.664 0.000
3 Y 0.664 0.164 0.000
4 Y 0.164 0.336 0.000
5 Ge 0.000 0.000 0.000
6 Ge 0.500 0.500 0.000
7 Se 0.140 0.640 0.500
8 Se 0.640 0.860 0.500
9 Se 0.860 0.360 0.500
10 Se 0.360 0.140 0.500

The value obtained for the magnetization is 0.00 μB/cell. The theoretical density is 5.66 Mg/m³.



Number 1: DOS(E_F) 0.82 states/eV/atom, VASP energy -9.557 eV per atom, volume 129.2 Å³/cell. Number 2: DOS(E_F) 0.81 states/eV/atom, VASP energy -6.258 eV per atom, volume 141.5 Å³/cell. Number 3: DOS(E_F) 1.38 states/eV/atom, VASP energy -4.537 eV per atom, volume 273.7 Å³/cell. Number 4: DOS(E_F) 1.53 states/eV/atom, VASP energy -7.054 eV per atom, volume 78.2 Å³/cell. Number 5: DOS(E_F) 0.00 states/eV/atom, VASP energy -3.344 eV per atom, volume 318.7 Å³/cell. Number 6: DOS(E_F) 0.71 states/eV/atom, VASP energy -6.085 eV per atom, volume 239.4 Å³/cell.